No. 1
Nd3Si2Ni9Sn | PBE | relaxed

Cell and atoms, written as POSCAR:
```
Nd3Si2Ni9Sn
1.0
6.317 0.000 0.000
-3.158 5.470 0.000
0.000 0.000 7.781
Nd Si Ni Sn
3 2 9 1
direct
0.333 0.667 0.707
0.000 0.000 0.000
0.667 0.333 0.293
0.333 0.667 0.162
0.667 0.333 0.838
0.795 0.205 0.614
0.795 0.589 0.614
0.411 0.205 0.614
0.589 0.795 0.386
0.205 0.411 0.386
0.205 0.795 0.386
0.500 0.000 0.000
0.000 0.500 0.000
0.500 0.500 0.000
0.000 0.000 0.500
```

final energy = -5.630 eV per atom
magnetization = 0.00 μB per atom
formation energy without anion corrections = -3.260 eV/f.u.

=====

No. 2
Ho6As2AuSe3 | PBE | relaxed

Cell and atoms, written as POSCAR:
```
Ho6As2AuSe3
1.0
-1.757 3.658 0.061
-7.129 -3.463 2.333
4.952 -0.001 7.741
Ho As Au Se
6 2 1 3
direct
0.333 0.909 0.667
0.670 0.577 0.341
0.667 0.091 0.333
0.002 0.249 0.003
0.998 0.751 0.997
0.330 0.423 0.659
0.834 0.665 0.667
0.166 0.335 0.333
0.500 0.000 0.000
0.500 0.500 0.000
0.831 0.167 0.663
0.169 0.833 0.337
```

final energy = -5.744 eV per atom
magnetization = 0.00 μB per atom
formation energy without anion corrections = -18.431 eV/f.u.

=====

No. 3
Sm2ErTl2Ag2 | PBE | relaxed

Cell and atoms, written as POSCAR:
```
Sm2ErTl2Ag2
1.0
-4.515 -0.185 1.843
-0.797 -2.188 4.289
-0.340 7.116 6.344
Sm Er Tl Ag
2 1 2 2
direct
0.124 0.124 0.627
0.876 0.876 0.373
0.000 0.000 0.000
0.739 0.739 0.784
0.261 0.261 0.216
0.611 0.611 0.166
0.389 0.389 0.834
```

ΔH_f (0 K) = -116 kJ/mol of formula units
final energy = -3.663 eV per atom
magnetization = 0.00 μB per atom

=====

No. 4
TaCu3 | PBE | relaxed

Cell and atoms, written as POSCAR:
```
TaCu3
1.0
-0.182 -2.364 1.387
1.478 0.126 -2.312
6.951 2.139 4.559
Cu Ta
3 1
direct
0.000 0.000 0.016
0.000 0.000 0.484
0.667 0.333 0.250
0.667 0.333 0.750
```

ΔH_f (0 K) = 65 kJ/mol of formula units
final energy = -5.867 eV per atom
magnetization = 0.00 μB per atom